No. 1
# PaTiSi2O8 GGA-PBE relaxed
data_PaTiSi2O8
_chemical_formula_sum 'Pa2 Ti2 Si4 O16'
_cell_length_a 6.797
_cell_length_b 6.797
_cell_length_c 6.092
_cell_angle_alpha 90.00
_cell_angle_beta 90.00
_cell_angle_gamma 90.00
_space_group_name_H-M_alt 'I -4 m 2'
_space_group_IT_number 119
_space_group_name_Hall 'I -4 -2'
loop_
_atom_site_label
_atom_site_type_symbol
_atom_site_fract_x
_atom_site_fract_y
_atom_site_fract_z
Pa1 Pa 0.000 0.000 0.000
Ti1 Ti 0.000 0.500 0.250
Si1 Si 0.000 0.000 0.500
Si2 Si 0.000 0.500 0.750
O1 O 0.000 0.186 0.326
O2 O 0.000 0.323 0.932
# - DFT total energy: -8.5965 eV per atom
# - Energy relative to the elements, uncorrected: -2.938 eV per atom
# - Magnetization: 0.0909 μB per atom


No. 2
# Ba3Sr13 GGA-PBE relaxed
data_Ba3Sr13
_chemical_formula_sum 'Ba6 Sr26'
_cell_length_a 9.590
_cell_length_b 13.544
_cell_length_c 13.555
_cell_angle_alpha 90.00
_cell_angle_beta 90.00
_cell_angle_gamma 90.00
_space_group_name_H-M_alt 'A m m 2'
_space_group_IT_number 38
_space_group_name_Hall 'A 2 -2'
loop_
_atom_site_label
_atom_site_type_symbol
_atom_site_fract_x
_atom_site_fract_y
_atom_site_fract_z
Ba1 Ba 0.000 0.000 0.000
Ba2 Ba 0.251 0.000 0.254
Sr1 Sr 0.000 0.000 0.506
Sr2 Sr 0.000 0.246 0.753
Sr3 Sr 0.251 0.000 0.751
Sr4 Sr 0.252 0.248 0.503
Sr5 Sr 0.500 0.000 0.506
Sr6 Sr 0.500 0.000 0.999
Sr7 Sr 0.500 0.246 0.753
# - DFT total energy: -1.7232 eV per atom
# - Energy of formation: 0.004 eV/atom
# - Magnetization: 0.0000 μB per atom


No. 3
# Cs2AgAu2 GGA-PBE relaxed
data_Cs2AgAu2
_chemical_formula_sum 'Cs4 Ag2 Au4'
_cell_length_a 7.750
_cell_length_b 7.750
_cell_length_c 5.547
_cell_angle_alpha 90.00
_cell_angle_beta 90.00
_cell_angle_gamma 90.00
_space_group_name_H-M_alt 'P 4/m b m'
_space_group_IT_number 127
_space_group_name_Hall '-P 4 2ab'
loop_
_atom_site_label
_atom_site_type_symbol
_atom_site_fract_x
_atom_site_fract_y
_atom_site_fract_z
Cs1 Cs 0.175 0.325 0.000
Ag1 Ag 0.000 0.000 0.500
Au1 Au 0.134 0.634 0.500
# - DFT total energy: -2.2911 eV per atom
# - Energy of formation: -0.069 eV/atom
# - ΔE to the lowest computed polymorph: 131.1 meV per atom
# - Magnetization: 0.0000 μB per atom


No. 4
# PaHgBi GGA-PBE relaxed
data_PaHgBi
_chemical_formula_sum 'Pa2 Hg2 Bi2'
_cell_length_a 3.966
_cell_length_b 3.966
_cell_length_c 10.456
_cell_angle_alpha 90.00
_cell_angle_beta 90.00
_cell_angle_gamma 90.00
_space_group_name_H-M_alt 'I 4 m m'
_space_group_IT_number 107
_space_group_name_Hall 'I 4 -2'
loop_
_atom_site_label
_atom_site_type_symbol
_atom_site_fract_x
_atom_site_fract_y
_atom_site_fract_z
Pa1 Pa 0.000 0.000 0.000
Hg1 Hg 0.000 0.000 0.335
Bi1 Bi 0.000 0.000 0.670
# - DFT total energy: -4.4714 eV per atom
# - Energy of formation: 0.088 eV/atom
# - ΔE to the lowest computed polymorph: 152.5 meV per atom
# - Magnetization: 0.5194 μB per atom


No. 5
# TbCe2YN4 GGA-PBE relaxed
data_TbCe2YN4
_chemical_formula_sum 'Tb1 Ce2 Y1 N4'
_cell_length_a 6.110
_cell_length_b 3.528
_cell_length_c 6.111
_cell_angle_alpha 90.00
_cell_angle_beta 109.47
_cell_angle_gamma 90.00
_space_group_name_H-M_alt 'P 1 2/m 1'
_space_group_IT_number 10
_space_group_name_Hall '-P 2y'
loop_
_atom_site_label
_atom_site_type_symbol
_atom_site_fract_x
_atom_site_fract_y
_atom_site_fract_z
Tb1 Tb 0.000 0.000 0.000
Ce1 Ce 0.000 0.500 0.500
Ce2 Ce 0.500 0.000 0.500
Y1 Y 0.500 0.500 0.000
N1 N 0.251 0.000 0.750
N2 N 0.251 0.500 0.250
# - DFT total energy: -8.6189 eV per atom
# - Energy relative to the elements, uncorrected: -1.586 eV per atom
# - Magnetization: 0.0637 μB per atom


No. 6
# TmMnGe2Rh GGA-PBE relaxed
data_TmMnGe2Rh
_chemical_formula_sum 'Tm2 Mn2 Ge4 Rh2'
_cell_length_a 4.035
_cell_length_b 4.035
_cell_length_c 10.611
_cell_angle_alpha 90.00
_cell_angle_beta 90.00
_cell_angle_gamma 90.00
_space_group_name_H-M_alt 'I -4 m 2'
_space_group_IT_number 119
_space_group_name_Hall 'I -4 -2'
loop_
_atom_site_label
_atom_site_type_symbol
_atom_site_fract_x
_atom_site_fract_y
_atom_site_fract_z
Tm1 Tm 0.000 0.000 0.000
Mn1 Mn 0.000 0.500 0.250
Ge1 Ge 0.000 0.000 0.384
Rh1 Rh 0.000 0.500 0.750
# - DFT total energy: -6.6901 eV per atom
# - Energy of formation: -0.645 eV/atom
# - Magnetization: 0.6326 μB per atom


No. 7
# Re2IrRu GGA-PBE relaxed
data_Re2IrRu
_chemical_formula_sum 'Re4 Ir2 Ru2'
_cell_length_a 9.081
_cell_length_b 2.738
_cell_length_c 4.767
_cell_angle_alpha 90.00
_cell_angle_beta 100.15
_cell_angle_gamma 90.00
_space_group_name_H-M_alt 'C 1 m 1'
_space_group_IT_number 8
_space_group_name_Hall 'C -2y'
loop_
_atom_site_label
_atom_site_type_symbol
_atom_site_fract_x
_atom_site_fract_y
_atom_site_fract_z
Re1 Re 0.000 0.000 0.000
Re2 Re 0.248 0.000 0.736
Ir1 Ir 0.247 0.500 0.238
Ru1 Ru 0.003 0.500 0.509
# - DFT total energy: -10.8073 eV per atom
# - Energy of formation: -0.049 eV/atom
# - ΔE to the lowest computed polymorph: 161.8 meV per atom
# - Magnetization: 0.0000 μB per atom


No. 8
# Sm3DyYTh GGA-PBE relaxed
data_Sm3DyYTh
_chemical_formula_sum 'Sm6 Dy2 Y2 Th2'
_cell_length_a 8.041
_cell_length_b 5.093
_cell_length_c 10.182
_cell_angle_alpha 90.00
_cell_angle_beta 108.31
_cell_angle_gamma 90.00
_space_group_name_H-M_alt 'P 1 21/m 1'
_space_group_IT_number 11
_space_group_name_Hall '-P 2yb'
loop_
_atom_site_label
_atom_site_type_symbol
_atom_site_fract_x
_atom_site_fract_y
_atom_site_fract_z
Sm1 Sm 0.171 0.250 0.043
Sm2 Sm 0.177 0.750 0.294
Sm3 Sm 0.178 0.250 0.544
Dy1 Dy 0.499 0.250 0.872
Y1 Y 0.170 0.750 0.792
Th1 Th 0.500 0.250 0.378
# - DFT total energy: -5.4112 eV per atom
# - Energy of formation: 0.029 eV/atom
# - Magnetization: 0.0000 μB per atom